Entry 1:
The following is a DFT calculation (PBE) of a geometry-optimized AlGa2AgO structure. Values from VASP.

Output
E_form (uncorrected) = -0.305 eV/atom

```
&SYSTEM
  ibrav = 0, nat = 5, ntyp = 4
/
ATOMIC_SPECIES
Ga 69.72 Ga.upf
O 16.00 O.upf
Al 26.98 Al.upf
Ag 107.87 Ag.upf
CELL_PARAMETERS angstrom
5.3067 0.0000 0.0000
0.0000 3.4337 0.0000
0.0000 0.0000 5.3067
ATOMIC_POSITIONS crystal
Ga 0.0000 0.0000 0.5000
Ga 0.5000 0.0000 0.0000
O 0.0000 0.5000 0.0000
Al 0.0000 0.0000 0.0000
Ag 0.5000 0.5000 0.5000
```



Entry 2:
The following is a DFT calculation (PBE) of a geometry-optimized SrCr2GeS6 structure. Values from VASP.

Output
E_form (uncorrected) = -0.715 eV/atom

```
&SYSTEM
  ibrav = 0, nat = 10, ntyp = 4
/
ATOMIC_SPECIES
S 32.06 S.upf
Cr 52.00 Cr.upf
Ge 72.64 Ge.upf
Sr 87.62 Sr.upf
CELL_PARAMETERS angstrom
6.3966 0.0000 0.0003
3.1983 5.5395 0.0001
3.1981 1.8467 5.5796
ATOMIC_POSITIONS crystal
S 0.1908 0.3285 0.7480
S 0.9039 0.6182 0.2286
S 0.6182 0.2493 0.2286
S 0.2493 0.9039 0.2286
S 0.7326 0.1908 0.7481
S 0.3285 0.7326 0.7481
Cr 0.0103 0.0103 0.9691
Cr 0.5217 0.5217 0.4348
Ge 0.3224 0.3224 0.0327
Sr 0.7838 0.7838 0.6487
```



Entry 3:
The following is a DFT calculation (PBE) of a geometry-optimized Sb2RhW4 structure. Values from VASP.

Output
E_form (uncorrected) = 1.688 eV/atom

```
&SYSTEM
  ibrav = 0, nat = 7, ntyp = 3
/
ATOMIC_SPECIES
Sb 121.76 Sb.upf
W 183.84 W.upf
Rh 102.91 Rh.upf
CELL_PARAMETERS angstrom
4.6939 0.0000 0.0000
0.0000 4.6939 0.0000
2.3470 2.3470 6.8881
ATOMIC_POSITIONS crystal
Sb 0.3716 0.3716 0.2567
Sb 0.6284 0.6284 0.7433
W 0.0000 0.5000 0.0000
W 0.5000 0.0000 0.0000
W 0.1801 0.1801 0.6398
W 0.8199 0.8199 0.3602
Rh 0.0000 0.0000 0.0000
```



Entry 4:
The following is a DFT calculation (PBE) of a geometry-optimized ThTaNi10 structure. Values from VASP.

Output
E_form = -255 kJ/mol of formula units

```
&SYSTEM
  ibrav = 0, nat = 12, ntyp = 3
/
ATOMIC_SPECIES
Ni 58.69 Ni.upf
Th 232.04 Th.upf
Ta 180.95 Ta.upf
CELL_PARAMETERS angstrom
3.9865 0.0000 0.0000
0.0000 4.7722 0.0000
0.0000 0.0000 8.3280
ATOMIC_POSITIONS crystal
Ni 0.5000 0.0000 0.5000
Ni 0.0000 0.5000 0.1851
Ni 0.5000 0.7431 0.2628
Ni 0.5000 0.5000 0.0000
Ni 0.5000 0.2569 0.7372
Ni 0.5000 0.7431 0.7372
Ni 0.0000 0.5000 0.8149
Ni 0.0000 0.0000 0.6550
Ni 0.0000 0.0000 0.3450
Ni 0.5000 0.2569 0.2628
Th 0.0000 0.0000 0.0000
Ta 0.0000 0.5000 0.5000
```



Entry 5:
The following is a DFT calculation (PBE) of a geometry-optimized Ca2NdMnSe4 structure. Values from VASP.

Output
E_form (uncorrected) = -1.518 eV/atom

```
&SYSTEM
  ibrav = 0, nat = 8, ntyp = 4
/
ATOMIC_SPECIES
Se 78.96 Se.upf
Mn 54.94 Mn.upf
Nd 144.24 Nd.upf
Ca 40.08 Ca.upf
CELL_PARAMETERS angstrom
4.1336 0.0000 0.0000
0.0000 7.1283 0.0802
0.0000 -2.5312 6.7805
ATOMIC_POSITIONS crystal
Se 0.5000 0.2313 0.2344
Se 0.0000 0.2410 0.7499
Se 0.5000 0.7687 0.7656
Se 0.0000 0.7590 0.2501
Mn 0.0000 0.0000 0.0000
Nd 0.5000 0.5000 0.0000
Ca 0.0000 0.5000 0.5000
Ca 0.5000 0.0000 0.5000
```



Entry 6:
The following is a DFT calculation (PBE) of a geometry-optimized Sm5Er3Se8 structure. Values from VASP.

Output
E_form (uncorrected) = -1.768 eV/atom

```
&SYSTEM
  ibrav = 0, nat = 16, ntyp = 3
/
ATOMIC_SPECIES
Se 78.96 Se.upf
Sm 150.36 Sm.upf
Er 167.26 Er.upf
CELL_PARAMETERS angstrom
7.1205 0.0000 4.0787
2.3921 6.7067 4.0787
-0.0201 -0.0141 8.2899
ATOMIC_POSITIONS crystal
Se 0.2408 0.7499 0.2594
Se 0.7499 0.7499 0.2594
Se 0.7592 0.2501 0.7406
Se 0.7546 0.7546 0.7363
Se 0.2501 0.7592 0.7406
Se 0.2501 0.2501 0.7406
Se 0.7499 0.2408 0.2594
Se 0.2454 0.2454 0.2637
Sm 0.5000 0.0000 0.0000
Sm 0.5000 0.5000 0.5000
Sm 0.0000 0.5000 0.0000
Sm 0.5000 0.5000 0.0000
Sm 0.0000 0.0000 0.0000
Er 0.0000 0.5000 0.5000
Er 0.5000 0.0000 0.5000
Er 0.0000 0.0000 0.5000
```



Entry 7:
The following is a DFT calculation (PBE) of a geometry-optimized CsNaInOs2 structure. Values from VASP.

Output
E_form = 1269 kJ/mol of formula units

```
&SYSTEM
  ibrav = 0, nat = 5, ntyp = 4
/
ATOMIC_SPECIES
Os 190.23 Os.upf
Na 22.99 Na.upf
In 114.82 In.upf
Cs 132.91 Cs.upf
CELL_PARAMETERS angstrom
5.1626 0.0000 0.0000
0.0000 5.2883 0.0000
0.0000 0.0000 5.1626
ATOMIC_POSITIONS crystal
Os 0.0000 0.0000 0.5000
Os 0.5000 0.0000 0.0000
Na 0.0000 0.5000 0.0000
In 0.5000 0.5000 0.5000
Cs 0.0000 0.0000 0.0000
```



Entry 8:
The following is a DFT calculation (PBE) of a geometry-optimized Fe2NiPb structure. Values from VASP.

Output
E_form = 124 kJ/mol of formula units

```
&SYSTEM
  ibrav = 0, nat = 4, ntyp = 3
/
ATOMIC_SPECIES
Fe 55.84 Fe.upf
Ni 58.69 Ni.upf
Pb 207.20 Pb.upf
CELL_PARAMETERS angstrom
-2.6141 4.1422 0.1099
-1.4025 1.3943 4.4825
4.2434 -1.3647 -2.0334
ATOMIC_POSITIONS crystal
Fe 0.0000 0.0000 0.0000
Fe 0.5000 0.5000 0.0000
Ni 0.2500 0.7500 0.5000
Pb 0.7500 0.2500 0.5000
```



| no. | size of the total moment (μB per cell) |
| --- | --- |
| 1 | 0.0 |
| 2 | 6.0 |
| 3 | 0.0 |
| 4 | 1.4 |
| 5 | 4.4 |
| 6 | 0.0 |
| 7 | 2.7 |
| 8 | 5.2 |